1.
A plane-wave DFT calculation with PBE was carried out for Ti5Mn2ZnRh2 after structural relaxation.

The calculation puts the calculated formation energy at -0.1006 eV per atom. The total magnetization comes out at 0.00 Bohr magnetons per cell.

The structure belongs to space group P4/mbm (No. 127); the cell edges are 9.957, 9.957 and 3.059 Å and the angles 90.00°, 90.00° and 90.00°. The inequivalent atoms are Ti at (0.000, 0.500, 0.000), Ti at (0.094, 0.198, 0.000), Mn at (0.128, 0.372, 0.500), Zn at (0.000, 0.000, 0.500) and Rh at (0.167, 0.667, 0.500).

2.
A plane-wave DFT calculation with PBE was carried out for Tm6Sb3Ir after structural relaxation.

For the formation energy from raw total energies, the calculation gives -0.643 eV/atom. The total magnetization comes out at 0.00 Bohr magnetons per cell.

The structure belongs to space group Cmc2_1 (No. 36); the cell edges are 10.578, 15.140 and 7.043 Å and the angles 90.00°, 90.00° and 90.00°. The inequivalent atoms are Tm at (0.000, 0.016, 0.000), Tm at (0.000, 0.245, 0.946), Tm at (0.162, 0.268, 0.436), Tm at (0.206, 0.438, 0.813), Sb at (0.000, 0.438, 0.505), Sb at (0.179, 0.110, 0.704) and Ir at (0.000, 0.148, 0.263).

3.
A plane-wave DFT calculation with PBE was carried out for CdAgRu2 after structural relaxation.

The calculation puts the calculated formation energy at 0.2638 eV per atom. The total magnetization comes out at 0.00 Bohr magnetons per cell.

The structure belongs to space group Pmm2 (No. 25); the cell edges are 2.843, 3.690 and 6.322 Å and the angles 90.00°, 90.00° and 90.00°. The inequivalent atoms are Cd at (0.000, 0.000, 0.000), Ag at (0.500, 0.500, 0.734), Ru at (0.000, 0.000, 0.459) and Ru at (0.500, 0.500, 0.284).

4.
A plane-wave DFT calculation with PBE was carried out for Ce6Co2PtCl3 after structural relaxation.

For the formation energy from raw total energies, the calculation gives -0.956 eV/atom. The total magnetization comes out at 11.77 Bohr magnetons per cell.

The structure belongs to space group C2/m (No. 12); the cell edges are 6.949, 11.989 and 7.638 Å and the angles 90.00°, 107.72° and 90.00°. The inequivalent atoms are Ce at (0.216, 0.000, 0.204), Ce at (0.243, 0.324, 0.206), Co at (0.000, 0.167, 0.000), Pt at (0.000, 0.500, 0.000), Cl at (0.000, 0.000, 0.500) and Cl at (0.000, 0.335, 0.500).

5.
A plane-wave DFT calculation with PBE was carried out for ScMnGaTe2 after structural relaxation.

For the formation energy from raw total energies, the calculation gives 0.097 eV/atom. The total magnetization comes out at 2.17 Bohr magnetons per cell.

The structure belongs to space group P4/mmm (No. 123); the cell edges are 5.272, 5.272 and 4.624 Å and the angles 90.00°, 90.00° and 90.00°. The inequivalent atoms are Sc at (0.000, 0.000, 0.000), Mn at (0.000, 0.000, 0.500), Ga at (0.500, 0.500, 0.000) and Te at (0.000, 0.500, 0.500).

6.
A plane-wave DFT calculation with PBE was carried out for KSnB after structural relaxation.

The calculation puts the calculated formation energy at 0.0980 eV per atom. The total magnetization comes out at 0.00 Bohr magnetons per cell.

The structure belongs to space group Pm (No. 6); the cell edges are 3.206, 5.832 and 8.466 Å and the angles 90.00°, 91.75° and 90.00°. The inequivalent atoms are K at (0.000, 0.000, 0.000), K at (0.057, 0.500, 0.626), Sn at (0.526, 0.500, 0.248), Sn at (0.538, 0.000, 0.397), B at (0.251, 0.500, 0.968) and B at (0.740, 0.500, 0.965).

7.
A plane-wave DFT calculation with PBE was carried out for TcTeW2Se after structural relaxation.

For the formation energy from raw total energies, the calculation gives 2.123 eV/atom. The total magnetization comes out at 1.92 Bohr magnetons per cell.

The structure belongs to space group P4/mmm (No. 123); the cell edges are 4.588, 4.588 and 5.350 Å and the angles 90.00°, 90.00° and 90.00°. The inequivalent atoms are Tc at (0.000, 0.000, 0.000), Te at (0.500, 0.500, 0.000), W at (0.000, 0.500, 0.500) and Se at (0.500, 0.500, 0.500).

8.
A plane-wave DFT calculation with PBE was carried out for Tb2SmDyTl2 after structural relaxation.

The calculation puts the calculated formation energy at -0.2713 eV per atom. The total magnetization comes out at 0.00 Bohr magnetons per cell.

The structure belongs to space group Pmc2_1 (No. 26); the cell edges are 5.142, 10.050 and 6.843 Å and the angles 90.00°, 90.00° and 90.00°. The inequivalent atoms are Tb at (0.000, 0.043, 0.000), Tb at (0.500, 0.184, 0.282), Sm at (0.500, 0.458, 0.909), Dy at (0.000, 0.311, 0.630), Tl at (0.000, 0.365, 0.168) and Tl at (0.500, 0.135, 0.746).

9.
A plane-wave DFT calculation with PBE was carried out for PrNd12Co6 after structural relaxation.

The calculation puts the calculated formation energy at -0.0460 eV per atom. The total magnetization comes out at 0.01 Bohr magnetons per cell.

The structure belongs to space group Im-3 (No. 204); the cell edges are 10.113, 10.113 and 10.113 Å and the angles 90.00°, 90.00° and 90.00°. The inequivalent atoms are Pr at (0.000, 0.000, 0.000), Nd at (0.000, 0.311, 0.195) and Co at (0.000, 0.111, 0.500).

10.
A plane-wave DFT calculation with PBE was carried out for Al2CoNiBr after structural relaxation.

For the formation energy from raw total energies, the calculation gives 0.666 eV/atom. The total magnetization comes out at 0.57 Bohr magnetons per cell.

The structure belongs to space group P4/mmm (No. 123); the cell edges are 4.473, 4.473 and 4.873 Å and the angles 90.00°, 90.00° and 90.00°. The inequivalent atoms are Al at (0.000, 0.500, 0.000), Co at (0.000, 0.000, 0.000), Ni at (0.500, 0.500, 0.500) and Br at (0.000, 0.000, 0.500).

11.
A plane-wave DFT calculation with PBE was carried out for Ba2ThPdSe5 after structural relaxation.

For the formation energy from raw total energies, the calculation gives -1.503 eV/atom. The total magnetization comes out at 0.00 Bohr magnetons per cell.

The structure belongs to space group Cmc2_1 (No. 36); the cell edges are 4.300, 18.776 and 13.480 Å and the angles 90.00°, 90.00° and 90.00°. The inequivalent atoms are Ba at (0.000, 0.116, 0.000), Ba at (0.000, 0.125, 0.348), Th at (0.000, 0.184, 0.679), Pd at (0.000, 0.443, 0.095), Se at (0.000, 0.026, 0.686), Se at (0.000, 0.309, 0.327), Se at (0.000, 0.310, 0.027), Se at (0.000, 0.337, 0.671) and Se at (0.000, 0.495, 0.924).

12.
A plane-wave DFT calculation with PBE was carried out for TcPdSe2N after structural relaxation.

For the formation energy from raw total energies, the calculation gives 0.428 eV/atom. For the energy above the most stable polymorph in this dataset, the calculation gives 0.00 kJ/mol of atoms. The total magnetization comes out at 0.00 Bohr magnetons per cell.

The structure belongs to space group P4/mmm (No. 123); the cell edges are 5.002, 5.002 and 3.676 Å and the angles 90.00°, 90.00° and 90.00°. The inequivalent atoms are Tc at (0.000, 0.000, 0.000), Pd at (0.500, 0.500, 0.500), Se at (0.000, 0.500, 0.000) and N at (0.000, 0.000, 0.500).

Calculated mass density in order - 6.8 9.3 10.6 6.9 5.5 3.5 9.9 9.8 7.1 4.3 6.2 6.8 g cm⁻³
Calculated V in order - 303.3 1127.9 66.3 606.1 128.5 158.2 112.6 353.7 1034.3 97.5 1088.5 92.0 Å³/cell
Calculated total energy in order - -7.48 -5.45 -5.32 -6.07 -4.87 -3.83 -6.46 -4.16 -5.55 -3.74 -5.27 -5.74 eV per atom